A geometry-optimized Fe4O7F structure, computed with PBE+U.

Summary:
* final energy: -6.131 eV/atom

Lattice parameters (Å, degrees): 6.0033 4.6363 9.2470 90.00 90.17 90.00
Last column: nearest neighbours and their distance in Å.
Fractional positions:
Fe1 0.1184 0.0000 0.3796  5 O 1.93-1.97, 1 F 2.09
Fe2 0.1230 0.9781 0.8709  6 O 1.94-2.09
Fe3 0.3676 0.4941 0.6188  5 O 1.94-2.00, 1 F 2.06
Fe4 0.3739 0.4555 0.1175  5 O 1.94-1.97, 1 F 2.11
Fe5 0.6261 0.9555 0.8825  5 O 1.94-1.97, 1 F 2.11
Fe6 0.6324 0.9941 0.3812  5 O 1.94-2.00, 1 F 2.06
Fe7 0.8770 0.4781 0.1291  6 O 1.94-2.09
Fe8 0.8816 0.5000 0.6204  5 O 1.93-1.97, 1 F 2.09
O1 0.1237 0.2988 0.7183  3 Fe 1.95-2.05
O2 0.1258 0.6571 0.0289  3 Fe 1.94-2.09
O3 0.1273 0.6978 0.5233  3 Fe 1.93-1.96
O4 0.1277 0.2864 0.2223  3 Fe 1.94-1.97
O5 0.3751 0.1527 0.9684  3 Fe 1.94-1.97
O6 0.3761 0.1824 0.4690  3 Fe 1.95-2.00
O7 0.3764 0.7848 0.7789  3 Fe 1.95-2.00
O8 0.6236 0.2848 0.2211  3 Fe 1.95-2.00
O9 0.6239 0.6824 0.5310  3 Fe 1.95-2.00
O10 0.6249 0.6527 0.0316  3 Fe 1.94-1.97
O11 0.8723 0.7864 0.7777  3 Fe 1.94-1.97
O12 0.8727 0.1978 0.4767  3 Fe 1.93-1.96
O13 0.8742 0.1571 0.9711  3 Fe 1.94-2.09
O14 0.8763 0.7988 0.2817  3 Fe 1.95-2.05
F1 0.3771 0.7860 0.2746  3 Fe 2.06-2.11
F2 0.6229 0.2860 0.7254  3 Fe 2.06-2.11